Here is crystalline Li3Ac2CrO6 at its relaxed geometry from Alexandria via LeMat-Bulk. Energies are from PBE with a Hubbard U.

Properties
Volume (Å³/cell): 161.2
DOS at the Fermi energy (states/eV per cell): 0.0
DFT total energy (eV per atom): -6.62
Space-group type: C2/m, No. 12

abc: 6.344 6.344 5.182
angles: 97.83 97.83 125.90
Sites, in units of the cell vectors:
Li: 0.101 0.899 0.500
Li: 0.899 0.101 0.500
Li: 0.500 0.500 0.500
Ac: 0.331 0.669 0.000
Ac: 0.669 0.331 0.000
Cr: 0.000 0.000 0.000
O: 0.934 0.665 0.755
O: 0.758 0.758 0.227
O: 0.066 0.335 0.245
O: 0.665 0.934 0.755
O: 0.242 0.242 0.773
O: 0.335 0.066 0.245